[1]
Entry from Alexandria: an optimized crystal structure of Y2TcBSb (PBE-GGA).

It has space group P4/mmm (No. 123), with a = 5.695 Å, b = 5.695 Å, c = 4.212 Å, α = 90.00°, β = 90.00° and γ = 90.00°. The inequivalent atoms are Y at (0.000, 0.500, 0.000), Tc at (0.000, 0.000, 0.500), B at (0.500, 0.500, 0.500) and Sb at (0.500, 0.500, 0.000).

For the uncorrected formation energy, the calculation gives 1.220 eV per atom. As for the crystal system: tetragonal.

---

[2]
Entry from Alexandria: an optimized crystal structure of MoBr (PBE-GGA).

It has space group Fd-3m (No. 227, origin choice 2), with a = 6.671 Å, b = 6.671 Å, c = 6.671 Å, α = 90.00°, β = 90.00° and γ = 90.00°. The inequivalent atoms are Mo at (0.125, 0.125, 0.125) and Br at (0.125, 0.125, 0.625).

The value obtained for the distance to the lowest polymorph of the same formula is 125.8 kJ/mol of atoms. For the uncorrected formation energy, the calculation gives 1.230 eV per atom. As for the crystal system: cubic.

---

[3]
Entry from Alexandria: an optimized crystal structure of TiNbV4 (PBE-GGA).

It has space group F-43m (No. 216), with a = 7.127 Å, b = 7.127 Å, c = 7.127 Å, α = 90.00°, β = 90.00° and γ = 90.00°. The inequivalent atoms are Ti at (0.000, 0.000, 0.000), Nb at (0.250, 0.250, 0.250) and V at (0.125, 0.125, 0.625).

The formation enthalpy at 0 K is 0.0 eV/f.u. As for the crystal system: cubic.

---

[4]
Entry from Alexandria: an optimized crystal structure of Pu2ZnGe4Rh3 (PBE-GGA).

It has space group P-4m2 (No. 115), with a = 4.226 Å, b = 4.226 Å, c = 10.273 Å, α = 90.00°, β = 90.00° and γ = 90.00°. The inequivalent atoms are Pu at (0.000, 0.500, 0.247), Zn at (0.000, 0.000, 0.500), Ge at (0.000, 0.000, 0.000), Ge at (0.000, 0.500, 0.638), Ge at (0.500, 0.500, 0.000), Rh at (0.000, 0.500, 0.875) and Rh at (0.500, 0.500, 0.500).

The formation enthalpy at 0 K is -5.4 eV/f.u. As for the crystal system: tetragonal.

---

| no. | final energy (eV per atom) |
| --- | --- |
| 1 | -5.599 |
| 2 | -5.022 |
| 3 | -9.066 |
| 4 | -7.582 |